[1]
An optimized crystal structure of NaSc2CdSn, computed with PBE.

## Properties
DFT formation energy: 3.38 eV/f.u.
calculated volume: 132.2 Å³/f.u.
energy above the most stable polymorph in this dataset: 0.3062 eV per atom
M_tot: 1.11 μB per formula unit

Structure (CIF):
```
data_NaSc2CdSn
_cell_length_a 5.172
_cell_length_b 5.172
_cell_length_c 4.942
_cell_angle_alpha 90.00
_cell_angle_beta 90.00
_cell_angle_gamma 90.00
_space_group_name_H-M_alt 'P 4/m m m'
_space_group_IT_number 123
_space_group_name_Hall '-P 4 2'
loop_
_atom_site_label
_atom_site_type_symbol
_atom_site_fract_x
_atom_site_fract_y
_atom_site_fract_z
_atom_site_occupancy
Na1 Na 0.000 0.000 0.000 1
Sc1 Sc 0.000 0.500 0.000 1
Cd1 Cd 0.000 0.000 0.500 1
Sn1 Sn 0.500 0.500 0.500 1
```

[2]
An optimized crystal structure of LiNd4Ir, computed with PBE.

## Properties
DFT formation energy: 0.13 eV/f.u.
calculated volume: 206.8 Å³/f.u.
M_tot: 0.00 μB per formula unit

Structure (CIF):
```
data_LiNd4Ir
_cell_length_a 9.304
_cell_length_b 9.304
_cell_length_c 9.556
_cell_angle_alpha 90.00
_cell_angle_beta 90.00
_cell_angle_gamma 90.00
_space_group_name_H-M_alt 'I 41 m d'
_space_group_IT_number 109
_space_group_name_Hall 'I 4bw -2'
loop_
_atom_site_label
_atom_site_type_symbol
_atom_site_fract_x
_atom_site_fract_y
_atom_site_fract_z
_atom_site_occupancy
Li1 Li 0.000 0.000 0.000 1
Nd1 Nd 0.000 0.302 0.523 1
Nd2 Nd 0.000 0.309 0.980 1
Ir1 Ir 0.000 0.000 0.505 1
```

[3]
An optimized crystal structure of Tm2UTc2C4, computed with PBE.

## Properties
DFT formation energy: -0.44 eV/f.u.
calculated volume: 124.8 Å³/f.u.
M_tot: 0.00 μB per formula unit

Structure (CIF):
```
data_Tm2UTc2C4
_cell_length_a 12.651
_cell_length_b 3.429
_cell_length_c 6.048
_cell_angle_alpha 90.00
_cell_angle_beta 107.94
_cell_angle_gamma 90.00
_space_group_name_H-M_alt 'C 1 2/m 1'
_space_group_IT_number 12
loop_
_space_group_symop_operation_xyz
'x,y,z'
'-x,-y,-z'
'-x,y,-z'
'x,-y,z'
'x+1/2,y+1/2,z'
'-x+1/2,-y+1/2,-z'
'-x+1/2,y+1/2,-z'
'x+1/2,-y+1/2,z'
loop_
_atom_site_label
_atom_site_type_symbol
_atom_site_fract_x
_atom_site_fract_y
_atom_site_fract_z
_atom_site_occupancy
Tm1 Tm 0.136 0.000 0.040 1
U1 U 0.000 0.000 0.500 1
Tc1 Tc 0.174 0.500 0.499 1
C1 C 0.019 0.500 0.237 1
C2 C 0.230 0.000 0.736 1
```

[4]
An optimized crystal structure of SrVH, computed with PBE.

## Properties
calculated volume: 62.0 Å³/f.u.
energy above the most stable polymorph in this dataset: 0.1200 eV per atom
M_tot: 0.07 μB per formula unit

Structure (CIF):
```
data_SrVH
_cell_length_a 4.307
_cell_length_b 5.105
_cell_length_c 6.513
_cell_angle_alpha 107.74
_cell_angle_beta 102.86
_cell_angle_gamma 105.62
_space_group_name_H-M_alt 'P 1'
_space_group_IT_number 1
loop_
_space_group_symop_operation_xyz
'x,y,z'
loop_
_atom_site_label
_atom_site_type_symbol
_atom_site_fract_x
_atom_site_fract_y
_atom_site_fract_z
_atom_site_occupancy
Sr1 Sr 0.000 0.000 0.000 1
Sr2 Sr 0.311 0.314 0.628 1
V1 V 0.486 0.733 0.316 1
V2 V 0.828 0.556 0.314 1
H1 H 0.125 0.866 0.313 1
H2 H 0.667 0.148 0.315 1
```